(1)
# EuGa4Sn | the Alexandria database | PBE | relaxed
# space group = F-43m (216)
# calculated formation energy = -0.234 eV/atom
# D(E_F) = 9.49 states/eV/cell
data_EuGa4Sn
_chemical_formula_sum 'Eu1 Ga4 Sn1'
_symmetry_space_group_name_H-M 'P 1'
_symmetry_Int_Tables_number 1
_symmetry_space_group_name_Hall 'P 1'
_cell_length_a 5.7093
_cell_length_b 5.7093
_cell_length_c 5.7093
_cell_angle_alpha 60.00
_cell_angle_beta 60.00
_cell_angle_gamma 60.00
loop_
_atom_site_label
_atom_site_fract_x
_atom_site_fract_y
_atom_site_fract_z
_atom_site_occupancy
Eu1 0.2500 0.2500 0.2500 1
Sn1 0.0000 0.0000 0.0000 1
Ga1 0.6251 0.6251 0.1246 1
Ga2 0.6251 0.1246 0.6251 1
Ga3 0.6251 0.6251 0.6251 1
Ga4 0.1246 0.6251 0.6251 1

***

(2)
# Nd2Tm5Ni2 | the Alexandria database | PBE | relaxed
# space group = Cmce (64)
# calculated formation energy = -0.176 eV/atom
# D(E_F) = 23.75 states/eV/cell
data_Nd2Tm5Ni2
_chemical_formula_sum 'Nd4 Tm10 Ni4'
_symmetry_space_group_name_H-M 'P 1'
_symmetry_Int_Tables_number 1
_symmetry_space_group_name_Hall 'P 1'
_cell_length_a 6.9384
_cell_length_b 6.9117
_cell_length_c 10.6006
_cell_angle_alpha 90.00
_cell_angle_beta 70.90
_cell_angle_gamma 90.00
loop_
_atom_site_label
_atom_site_fract_x
_atom_site_fract_y
_atom_site_fract_z
_atom_site_occupancy
Nd1 0.2305 0.0000 0.5390 1
Nd2 0.7305 0.5000 0.5390 1
Nd3 0.7695 0.0000 0.4610 1
Nd4 0.2695 0.5000 0.4610 1
Tm1 0.0000 0.0000 0.0000 1
Tm2 0.5000 0.5000 0.0000 1
Tm3 0.4289 0.1735 0.7885 1
Tm4 0.7826 0.8265 0.7885 1
Tm5 0.2826 0.6735 0.7885 1
Tm6 0.9289 0.3265 0.7885 1
Tm7 0.5711 0.8265 0.2115 1
Tm8 0.2174 0.1735 0.2115 1
Tm9 0.7174 0.3265 0.2115 1
Tm10 0.0711 0.6735 0.2115 1
Ni1 0.1221 0.3783 0.0000 1
Ni2 0.8779 0.6217 0.0000 1
Ni3 0.3779 0.8783 0.0000 1
Ni4 0.6221 0.1217 0.0000 1

***

(3)
# NaZnBi | the Alexandria database | PBE | relaxed
# space group = P4/nmm (129)
# calculated formation energy = -0.190 eV/atom
# D(E_F) = 0.73 states/eV/cell
data_NaZnBi
_chemical_formula_sum 'Na2 Zn2 Bi2'
_symmetry_space_group_name_H-M 'P 1'
_symmetry_Int_Tables_number 1
_symmetry_space_group_name_Hall 'P 1'
_cell_length_a 4.6189
_cell_length_b 4.6189
_cell_length_c 7.5531
_cell_angle_alpha 90.00
_cell_angle_beta 90.00
_cell_angle_gamma 90.00
loop_
_atom_site_label
_atom_site_fract_x
_atom_site_fract_y
_atom_site_fract_z
_atom_site_occupancy
Na1 0.7500 0.7500 0.3284 1
Na2 0.2500 0.2500 0.6716 1
Zn1 0.2500 0.7500 0.0000 1
Zn2 0.7500 0.2500 0.0000 1
Bi1 0.2500 0.2500 0.2315 1
Bi2 0.7500 0.7500 0.7685 1

***

(4)
# AcPmSmMg | the Alexandria database | PBE | relaxed
# space group = F-43m (216)
# calculated formation energy = 0.102 eV/atom
# energy above the most stable polymorph in this dataset = 0.530 eV/f.u.
# D(E_F) = 6.01 states/eV/cell
data_AcPmSmMg
_chemical_formula_sum 'Ac1 Pm1 Sm1 Mg1'
_symmetry_space_group_name_H-M 'P 1'
_symmetry_Int_Tables_number 1
_symmetry_space_group_name_Hall 'P 1'
_cell_length_a 5.7755
_cell_length_b 5.7755
_cell_length_c 5.7755
_cell_angle_alpha 60.00
_cell_angle_beta 60.00
_cell_angle_gamma 60.00
loop_
_atom_site_label
_atom_site_fract_x
_atom_site_fract_y
_atom_site_fract_z
_atom_site_occupancy
Ac1 0.5000 0.5000 0.5000 1
Mg1 0.0000 0.0000 0.0000 1
Sm1 0.7500 0.7500 0.7500 1
Pm1 0.2500 0.2500 0.2500 1

***

(5)
# Hf2Pd3Au8 | the Alexandria database | PBE | relaxed
# space group = R-3m (166)
# calculated formation energy = -0.045 eV/atom
# D(E_F) = 5.45 states/eV/cell
data_Hf2Pd3Au8
_chemical_formula_sum 'Hf2 Pd3 Au8'
_symmetry_space_group_name_H-M 'P 1'
_symmetry_Int_Tables_number 1
_symmetry_space_group_name_Hall 'P 1'
_cell_length_a 5.3227
_cell_length_b 5.3227
_cell_length_c 10.8008
_cell_angle_alpha 75.74
_cell_angle_beta 75.74
_cell_angle_gamma 60.00
loop_
_atom_site_label
_atom_site_fract_x
_atom_site_fract_y
_atom_site_fract_z
_atom_site_occupancy
Hf1 0.6335 0.6335 0.0995 1
Hf2 0.3665 0.3665 0.9005 1
Pd1 0.0000 0.0000 0.0000 1
Pd2 0.8124 0.8124 0.5629 1
Pd3 0.1876 0.1876 0.4371 1
Au1 0.7188 0.7188 0.8437 1
Au2 0.2812 0.2812 0.1563 1
Au3 0.2237 0.7244 0.3274 1
Au4 0.7244 0.2237 0.3274 1
Au5 0.7244 0.7244 0.3274 1
Au6 0.2756 0.7763 0.6726 1
Au7 0.7763 0.2756 0.6726 1
Au8 0.2756 0.2756 0.6726 1

***

(6)
# SrPCl3 | the Alexandria database | PBE | relaxed
# space group = Pm-3m (221)
# energy above the most stable polymorph in this dataset = 0.556 eV/f.u.
# D(E_F) = 8.51 states/eV/cell
# formation energy (no corrections) = -674 meV per atom
data_SrPCl3
_chemical_formula_sum 'Sr1 P1 Cl3'
_symmetry_space_group_name_H-M 'P 1'
_symmetry_Int_Tables_number 1
_symmetry_space_group_name_Hall 'P 1'
_cell_length_a 5.6635
_cell_length_b 5.6635
_cell_length_c 5.6635
_cell_angle_alpha 90.00
_cell_angle_beta 90.00
_cell_angle_gamma 90.00
loop_
_atom_site_label
_atom_site_fract_x
_atom_site_fract_y
_atom_site_fract_z
_atom_site_occupancy
Sr1 0.0000 0.0000 0.0000 1
P1 0.5000 0.5000 0.5000 1
Cl1 0.0000 0.5000 0.0000 1
Cl2 0.0000 0.0000 0.5000 1
Cl3 0.5000 0.0000 0.0000 1

***

(7)
# HoOF | the Alexandria database | PBE | relaxed
# space group = P3m1 (156)
# D(E_F) = 0.00 states/eV/cell
# formation energy (no corrections) = -3650 meV per atom
data_HoOF
_chemical_formula_sum 'Ho1 O1 F1'
_symmetry_space_group_name_H-M 'P 1'
_symmetry_Int_Tables_number 1
_symmetry_space_group_name_Hall 'P 1'
_cell_length_a 3.5248
_cell_length_b 3.5248
_cell_length_c 4.9219
_cell_angle_alpha 90.00
_cell_angle_beta 90.00
_cell_angle_gamma 120.00
loop_
_atom_site_label
_atom_site_fract_x
_atom_site_fract_y
_atom_site_fract_z
_atom_site_occupancy
Ho1 0.6667 0.3333 0.3651 1
O1 0.3333 0.6667 0.5167 1
F1 0.0000 0.0000 0.1182 1

***

(8)
# Ag5AuF6 | the Alexandria database | PBE | relaxed
# space group = C2/m (12)
# formation energy (no corrections) = -903 meV per atom
data_Ag5AuF6
_chemical_formula_sum 'Ag5 Au1 F6'
_symmetry_space_group_name_H-M 'P 1'
_symmetry_Int_Tables_number 1
_symmetry_space_group_name_Hall 'P 1'
_cell_length_a 6.3288
_cell_length_b 6.0928
_cell_length_c 5.9608
_cell_angle_alpha 89.52
_cell_angle_beta 57.94
_cell_angle_gamma 89.10
loop_
_atom_site_label
_atom_site_fract_x
_atom_site_fract_y
_atom_site_fract_z
_atom_site_occupancy
Au1 0.0000 0.0000 0.0000 1
Ag1 0.8593 0.5000 0.2815 1
Ag2 0.7124 0.0000 0.5753 1
Ag3 0.5000 0.5000 0.0000 1
Ag4 0.2876 0.0000 0.4247 1
Ag5 0.1407 0.5000 0.7185 1
F1 0.4790 0.6926 0.6553 1
F2 0.8658 0.3074 0.6553 1
F3 0.2891 0.1393 0.0000 1
F4 0.7109 0.8607 0.0000 1
F5 0.1342 0.6926 0.3447 1
F6 0.5210 0.3074 0.3447 1

***

(9)
# SrCeTlZn | the Alexandria database | PBE | relaxed
# space group = F-43m (216)
# calculated formation energy = -0.194 eV/atom
# D(E_F) = 9.31 states/eV/cell
data_SrCeTlZn
_chemical_formula_sum 'Sr1 Ce1 Tl1 Zn1'
_symmetry_space_group_name_H-M 'P 1'
_symmetry_Int_Tables_number 1
_symmetry_space_group_name_Hall 'P 1'
_cell_length_a 5.5148
_cell_length_b 5.5148
_cell_length_c 5.5148
_cell_angle_alpha 60.00
_cell_angle_beta 60.00
_cell_angle_gamma 60.00
loop_
_atom_site_label
_atom_site_fract_x
_atom_site_fract_y
_atom_site_fract_z
_atom_site_occupancy
Sr1 0.2500 0.2500 0.2500 1
Tl1 0.5000 0.5000 0.5000 1
Zn1 0.0000 0.0000 0.0000 1
Ce1 0.7500 0.7500 0.7500 1

***

(10)
# KZnRe3 | the Alexandria database | PBE | relaxed
# space group = Pm-3m (221)
# calculated formation energy = 3.835 eV/atom
# energy above the most stable polymorph in this dataset = 6.835 eV/f.u.
# D(E_F) = 7.68 states/eV/cell
data_KZnRe3
_chemical_formula_sum 'K1 Zn1 Re3'
_symmetry_space_group_name_H-M 'P 1'
_symmetry_Int_Tables_number 1
_symmetry_space_group_name_Hall 'P 1'
_cell_length_a 4.5357
_cell_length_b 4.5357
_cell_length_c 4.5357
_cell_angle_alpha 90.00
_cell_angle_beta 90.00
_cell_angle_gamma 90.00
loop_
_atom_site_label
_atom_site_fract_x
_atom_site_fract_y
_atom_site_fract_z
_atom_site_occupancy
Re1 0.0000 0.5000 0.0000 1
Re2 0.0000 0.0000 0.5000 1
Re3 0.5000 0.0000 0.0000 1
Zn1 0.5000 0.5000 0.5000 1
K1 0.0000 0.0000 0.0000 1

***

(11)
# Tb4ThMg | the Alexandria database | PBE | relaxed
# space group = C2/m (12)
# calculated formation energy = 0.173 eV/atom
# energy above the most stable polymorph in this dataset = 1.051 eV/f.u.
# D(E_F) = 9.26 states/eV/cell
data_Tb4ThMg
_chemical_formula_sum 'Tb4 Th1 Mg1'
_symmetry_space_group_name_H-M 'P 1'
_symmetry_Int_Tables_number 1
_symmetry_space_group_name_Hall 'P 1'
_cell_length_a 3.4087
_cell_length_b 5.8764
_cell_length_c 10.1204
_cell_angle_alpha 84.73
_cell_angle_beta 80.30
_cell_angle_gamma 73.14
loop_
_atom_site_label
_atom_site_fract_x
_atom_site_fract_y
_atom_site_fract_z
_atom_site_occupancy
Tb1 0.6546 0.5385 0.1522 1
Tb2 0.3454 0.4615 0.8478 1
Tb3 0.1550 0.0319 0.6581 1
Tb4 0.8450 0.9681 0.3419 1
Th1 0.5000 0.5000 0.5000 1
Mg1 0.0000 0.0000 0.0000 1

***

(12)
# LaRh3 | the Alexandria database | PBE | relaxed
# space group = Pmm2 (25)
# calculated formation energy = -0.198 eV/atom
# D(E_F) = 5.38 states/eV/cell
data_LaRh3
_chemical_formula_sum 'La1 Rh3'
_symmetry_space_group_name_H-M 'P 1'
_symmetry_Int_Tables_number 1
_symmetry_space_group_name_Hall 'P 1'
_cell_length_a 3.0997
_cell_length_b 4.6295
_cell_length_c 4.9546
_cell_angle_alpha 90.00
_cell_angle_beta 90.00
_cell_angle_gamma 90.00
loop_
_atom_site_label
_atom_site_fract_x
_atom_site_fract_y
_atom_site_fract_z
_atom_site_occupancy
La1 0.0000 0.0000 0.9827 1
Rh1 0.0000 0.5000 0.3718 1
Rh2 0.5000 0.0000 0.4767 1
Rh3 0.5000 0.5000 0.8355 1